Entry 1:
Material: ZrCdPd6
Method: DFT, GGA-PBE
State: optimized geometry

Unit cell a=5.422 b=5.422 c=5.422 alpha=82.92 beta=82.92 gamma=82.92
Sites, in units of the cell vectors:
Zr 0.000 0.000 0.000
Cd 0.500 0.500 0.500
Pd 0.157 0.157 0.536
Pd 0.157 0.536 0.157
Pd 0.464 0.843 0.843
Pd 0.536 0.157 0.157
Pd 0.843 0.464 0.843
Pd 0.843 0.843 0.464

## Properties
E = -5.102 eV per atom
symmetry = No. 166
ΔH_f (0 K) = -0.02 eV per atom
polymorph energy (0 for the lowest one) = 540.6 meV per atom

---

Entry 2:
Material: Li2RuN
Method: DFT, GGA-PBE
State: optimized geometry

Unit cell a=7.302 b=7.302 c=3.788 alpha=90.00 beta=90.00 gamma=90.00
Sites, in units of the cell vectors:
Li 0.129 0.750 0.125
Li 0.250 0.129 0.875
Li 0.250 0.371 0.375
Li 0.371 0.750 0.625
Li 0.629 0.250 0.625
Li 0.750 0.629 0.375
Li 0.750 0.871 0.875
Li 0.871 0.250 0.125
Ru 0.000 0.000 0.500
Ru 0.000 0.500 0.750
Ru 0.500 0.000 0.250
Ru 0.500 0.500 0.000
N 0.000 0.000 0.000
N 0.000 0.500 0.250
N 0.500 0.000 0.750
N 0.500 0.500 0.500

## Properties
E = -5.374 eV per atom
raw formation energy = -7 kJ/mol of formula units
symmetry = No. 122

---

Number 1: volume 19.51 Å³ per atom. Number 2: volume 12.62 Å³ per atom.